DFT (PBE) results for a relaxed Li5AgAu4 crystal.

a b c (Å): 3.170 3.170 15.381
angles (deg): 90.00 90.00 90.00
Fractional coordinates of all 10 atoms:
Ag (0.000, 0.000, 0.000)
Au (0.000, 0.000, 0.599)
Au (0.000, 0.000, 0.401)
Au (0.000, 0.000, 0.201)
Au (0.000, 0.000, 0.799)
Li (0.500, 0.500, 0.105)
Li (0.500, 0.500, 0.895)
Li (0.500, 0.500, 0.500)
Li (0.500, 0.500, 0.301)
Li (0.500, 0.500, 0.699)

Output
* energy of formation: -0.483 eV per atom